No. 1
This record from Alexandria via LeMat-Bulk describes a relaxed structure of CaTaTe2. The functional is PBEsol.

a b c (Å): 7.8584 3.8709 6.9469
angles (deg): 90.00 106.03 90.00
Space group C2/m (No. 12)
Asymmetric unit:
Ca1 0.0000 0.0000 0.0000 [2 per cell]
Ta1 0.0000 0.5000 0.5000 [2 per cell]
Te1 0.2413 0.0000 0.7163 [4 per cell]

## Properties
- Formation energy from raw total energies: -44.7 kJ/mol of atoms
- Volume: 203.10 Å³/cell
- D(E_F): 5.1 states/eV per cell
- Crystal system: monoclinic
- Total DFT energy (no corrections): -5.897 eV/atom
- Energy above the most stable polymorph in this dataset: 54 meV/atom

No. 2
This record from Alexandria via LeMat-Bulk describes a relaxed structure of Si3HF. The functional is PBEsol.

a b c (Å): 3.9122 3.9122 3.9122
angles (deg): 90.00 90.00 90.00
Space group Pm-3m (No. 221)
Asymmetric unit:
Si1 0.0000 0.0000 0.5000 [3 per cell]
H1 0.0000 0.0000 0.0000 [1 per cell]
F1 0.5000 0.5000 0.5000 [1 per cell]

## Properties
- Volume: 59.88 Å³/cell
- D(E_F): 2.4 states/eV per cell
- Crystal system: cubic
- Total DFT energy (no corrections): -4.164 eV/atom

No. 3
This record from Alexandria via LeMat-Bulk describes a relaxed structure of LiCr3O. The functional is PBEsol.

a b c (Å): 3.7579 3.7579 3.7579
angles (deg): 90.00 90.00 90.00
Space group Pm-3m (No. 221)
Asymmetric unit:
Li1 0.0000 0.0000 0.0000 [1 per cell]
Cr1 0.0000 0.5000 0.5000 [3 per cell]
O1 0.5000 0.5000 0.5000 [1 per cell]

## Properties
- Formation energy from raw total energies: -13.3 kJ/mol of atoms
- Volume: 53.07 Å³/cell
- D(E_F): 4.1 states/eV per cell
- Crystal system: cubic
- Total DFT energy (no corrections): -7.726 eV/atom

No. 4
This record from Alexandria via LeMat-Bulk describes a relaxed structure of Pt2NO. The functional is PBEsol.

a b c (Å): 4.1092 4.1092 12.0122
angles (deg): 90.00 90.00 90.00
Space group I-42d (No. 122)
Asymmetric unit:
Pt1 0.2075 0.2500 0.1250 [8 per cell]
N1 0.0000 0.0000 0.0000 [4 per cell]
O1 0.0000 0.0000 0.5000 [4 per cell]

## Properties
- Formation energy from raw total energies: 55.4 kJ/mol of atoms
- Volume: 202.83 Å³/cell
- D(E_F): 12.2 states/eV per cell
- Crystal system: tetragonal
- Total DFT energy (no corrections): -6.352 eV/atom

No. 5
This record from Alexandria via LeMat-Bulk describes a relaxed structure of LiBe2Pd2. The functional is PBEsol.

a b c (Å): 6.4718 6.4718 2.7536
angles (deg): 90.00 90.00 90.00
Space group P4/mbm (No. 127)
Asymmetric unit:
Li1 0.0000 0.0000 0.0000 [2 per cell]
Be1 0.1260 0.3740 0.0000 [4 per cell]
Pd1 0.1671 0.6671 0.5000 [4 per cell]

## Properties
- Volume: 115.33 Å³/cell
- ΔH_f (0 K): -0.5162 eV per atom
- D(E_F): 2.6 states/eV per cell
- Crystal system: tetragonal
- Total DFT energy (no corrections): -4.893 eV/atom

No. 6
This record from Alexandria via LeMat-Bulk describes a relaxed structure of KTi2MnCu. The functional is PBEsol.

a b c (Å): 4.7168 4.7168 5.4162
angles (deg): 90.00 90.00 90.00
Space group P4/mmm (No. 123)
Asymmetric unit:
K1 0.0000 0.0000 0.0000 [1 per cell]
Ti1 0.0000 0.5000 0.5000 [2 per cell]
Mn1 0.5000 0.5000 0.0000 [1 per cell]
Cu1 0.0000 0.0000 0.5000 [1 per cell]

## Properties
- Volume: 120.50 Å³/cell
- ΔH_f (0 K): 1.3751 eV per atom
- D(E_F): 6.3 states/eV per cell
- Crystal system: tetragonal
- Total DFT energy (no corrections): -5.000 eV/atom

No. 7
This record from Alexandria via LeMat-Bulk describes a relaxed structure of IBrO3. The functional is PBEsol.

a b c (Å): 4.1434 4.1434 4.1434
angles (deg): 90.00 90.00 90.00
Space group Pm-3m (No. 221)
Asymmetric unit:
I1 0.0000 0.0000 0.0000 [1 per cell]
Br1 0.5000 0.5000 0.5000 [1 per cell]
O1 0.0000 0.0000 0.5000 [3 per cell]

## Properties
- Formation energy from raw total energies: 33.4 kJ/mol of atoms
- Volume: 71.13 Å³/cell
- D(E_F): 1.9 states/eV per cell
- Crystal system: cubic
- Total DFT energy (no corrections): -3.531 eV/atom

No. 8
This record from Alexandria via LeMat-Bulk describes a relaxed structure of MgTa3Ru. The functional is PBEsol.

a b c (Å): 4.7713 4.7713 4.7713
angles (deg): 90.00 90.00 90.00
Space group Pm-3m (No. 221)
Asymmetric unit:
Mg1 0.0000 0.0000 0.0000 [1 per cell]
Ta1 0.0000 0.5000 0.5000 [3 per cell]
Ru1 0.5000 0.5000 0.5000 [1 per cell]

## Properties
- Volume: 108.62 Å³/cell
- ΔH_f (0 K): 1.0465 eV per atom
- D(E_F): 4.5 states/eV per cell
- Crystal system: cubic
- Total DFT energy (no corrections): -8.862 eV/atom

No. 9
This record from Alexandria via LeMat-Bulk describes a relaxed structure of SmCoGe2. The functional is PBEsol.

a b c (Å): 4.1474 16.4103 4.1370
angles (deg): 90.00 90.00 90.00
Space group Cmcm (No. 63)
Asymmetric unit:
Sm1 0.0000 0.1090 0.2500 [4 per cell]
Co1 0.0000 0.3180 0.2500 [4 per cell]
Ge1 0.0000 0.2501 0.7500 [4 per cell]
Ge2 0.0000 0.4548 0.2500 [4 per cell]

## Properties
- Volume: 281.56 Å³/cell
- ΔH_f (0 K): -0.7308 eV per atom
- D(E_F): 8.0 states/eV per cell
- Crystal system: orthorhombic
- Total DFT energy (no corrections): -6.408 eV/atom

No. 10
This record from Alexandria via LeMat-Bulk describes a relaxed structure of TlFe2Ag. The functional is PBEsol.

a b c (Å): 2.9490 2.9490 25.8083
angles (deg): 90.00 90.00 120.00
Space group R3m (No. 160, hexagonal axes)
Asymmetric unit:
Tl1 0.0000 0.0000 0.0000 [3 per cell]
Fe1 0.0000 0.0000 0.2446 [3 per cell]
Fe2 0.0000 0.0000 0.5149 [3 per cell]
Ag1 0.0000 0.0000 0.7660 [3 per cell]

## Properties
- Volume: 194.37 Å³/cell
- ΔH_f (0 K): 0.4882 eV per atom
- D(E_F): 8.1 states/eV per cell
- Crystal system: trigonal
- Total DFT energy (no corrections): -5.479 eV/atom
- Energy above the most stable polymorph in this dataset: 115 meV/atom

No. 11
This record from Alexandria via LeMat-Bulk describes a relaxed structure of RbCdH2Au. The functional is PBEsol.

a b c (Å): 4.3391 4.3391 5.3498
angles (deg): 90.00 90.00 90.00
Space group P4/mmm (No. 123)
Asymmetric unit:
Rb1 0.0000 0.0000 0.0000 [1 per cell]
Cd1 0.5000 0.5000 0.5000 [1 per cell]
H1 0.0000 0.5000 0.5000 [2 per cell]
Au1 0.5000 0.5000 0.0000 [1 per cell]

## Properties
- Volume: 100.72 Å³/cell
- D(E_F): 0.6 states/eV per cell
- Crystal system: tetragonal
- Total DFT energy (no corrections): -2.343 eV/atom

No. 12
This record from Alexandria via LeMat-Bulk describes a relaxed structure of La2Tl2Sn. The functional is PBEsol.

a b c (Å): 7.8858 7.8858 4.7552
angles (deg): 90.00 90.00 90.00
Space group P4/mbm (No. 127)
Asymmetric unit:
La1 0.1701 0.3299 0.0000 [4 per cell]
Tl1 0.1323 0.6323 0.5000 [4 per cell]
Sn1 0.0000 0.0000 0.5000 [2 per cell]

## Properties
- Volume: 295.71 Å³/cell
- ΔH_f (0 K): -0.4931 eV per atom
- D(E_F): 5.8 states/eV per cell
- Crystal system: tetragonal
- Total DFT energy (no corrections): -4.536 eV/atom

No. 13
This record from Alexandria via LeMat-Bulk describes a relaxed structure of Ag2SBr. The functional is PBEsol.

a b c (Å): 6.6871 6.6871 6.6871
angles (deg): 90.00 90.00 90.00
Space group Fm-3m (No. 225)
Asymmetric unit:
Ag1 0.2500 0.2500 0.2500 [8 per cell]
S1 0.0000 0.0000 0.0000 [4 per cell]
Br1 0.0000 0.0000 0.5000 [4 per cell]

## Properties
- Formation energy from raw total energies: 24.5 kJ/mol of atoms
- Volume: 299.03 Å³/cell
- D(E_F): 23.5 states/eV per cell
- Crystal system: cubic
- Total DFT energy (no corrections): -2.965 eV/atom
- Energy above the most stable polymorph in this dataset: 300 meV/atom

No. 14
This record from Alexandria via LeMat-Bulk describes a relaxed structure of La2TlAg. The functional is PBEsol.

a b c (Å): 7.6762 7.6762 7.6762
angles (deg): 90.00 90.00 90.00
Space group Fm-3m (No. 225)
Asymmetric unit:
La1 0.2500 0.2500 0.2500 [8 per cell]
Tl1 0.0000 0.0000 0.0000 [4 per cell]
Ag1 0.0000 0.0000 0.5000 [4 per cell]

## Properties
- Volume: 452.31 Å³/cell
- ΔH_f (0 K): -0.3352 eV per atom
- D(E_F): 19.1 states/eV per cell
- Crystal system: cubic
- Total DFT energy (no corrections): -4.494 eV/atom
- Energy above the most stable polymorph in this dataset: 4 meV/atom

No. 15
This record from Alexandria via LeMat-Bulk describes a relaxed structure of Nb3GaSi. The functional is PBEsol.

a b c (Å): 4.6540 4.6540 4.6540
angles (deg): 90.00 90.00 90.00
Space group Pm-3m (No. 221)
Asymmetric unit:
Nb1 0.0000 0.0000 0.5000 [3 per cell]
Ga1 0.0000 0.0000 0.0000 [1 per cell]
Si1 0.5000 0.5000 0.5000 [1 per cell]

## Properties
- Formation energy from raw total energies: 109.4 kJ/mol of atoms
- Volume: 100.80 Å³/cell
- D(E_F): 8.2 states/eV per cell
- Crystal system: cubic
- Total DFT energy (no corrections): -7.177 eV/atom

No. 16
This record from Alexandria via LeMat-Bulk describes a relaxed structure of RbSn3Au. The functional is PBEsol.

a b c (Å): 5.4682 5.4682 5.4682
angles (deg): 90.00 90.00 90.00
Space group Pm-3m (No. 221)
Asymmetric unit:
Rb1 0.0000 0.0000 0.0000 [1 per cell]
Sn1 0.0000 0.5000 0.5000 [3 per cell]
Au1 0.5000 0.5000 0.5000 [1 per cell]

## Properties
- Volume: 163.51 Å³/cell
- ΔH_f (0 K): 0.1775 eV per atom
- D(E_F): 4.5 states/eV per cell
- Crystal system: cubic
- Total DFT energy (no corrections): -3.368 eV/atom

No. 17
This record from Alexandria via LeMat-Bulk describes a relaxed structure of MnTl2Se. The functional is PBEsol.

a b c (Å): 3.3900 3.7194 15.3407
angles (deg): 90.00 90.00 90.00
Space group Immm (No. 71)
Asymmetric unit:
Mn1 0.0000 0.0000 0.0000 [2 per cell]
Tl1 0.0000 0.5000 0.3251 [4 per cell]
Se1 0.0000 0.0000 0.5000 [2 per cell]

## Properties
- Formation energy from raw total energies: 2.5 kJ/mol of atoms
- Volume: 193.43 Å³/cell
- D(E_F): 3.9 states/eV per cell
- Crystal system: orthorhombic
- Total DFT energy (no corrections): -4.692 eV/atom
- Energy above the most stable polymorph in this dataset: 0 meV/atom

No. 18
This record from Alexandria via LeMat-Bulk describes a relaxed structure of SrInIN2. The functional is PBEsol.

a b c (Å): 4.3876 4.3876 5.8024
angles (deg): 90.00 90.00 90.00
Space group P4/mmm (No. 123)
Asymmetric unit:
Sr1 0.0000 0.0000 0.0000 [1 per cell]
In1 0.5000 0.5000 0.5000 [1 per cell]
I1 0.5000 0.5000 0.0000 [1 per cell]
N1 0.0000 0.5000 0.5000 [2 per cell]

## Properties
- Formation energy from raw total energies: 53.9 kJ/mol of atoms
- Volume: 111.70 Å³/cell
- D(E_F): 3.9 states/eV per cell
- Crystal system: tetragonal
- Total DFT energy (no corrections): -4.170 eV/atom

No. 19
This record from Alexandria via LeMat-Bulk describes a relaxed structure of TaTl2Zn. The functional is PBEsol.

a b c (Å): 2.9820 5.1583 5.3427
angles (deg): 90.00 90.00 90.00
Space group Pmmm (No. 47)
Asymmetric unit:
Ta1 0.0000 0.0000 0.0000 [1 per cell]
Tl1 0.0000 0.5000 0.5000 [1 per cell]
Tl2 0.5000 0.5000 0.0000 [1 per cell]
Zn1 0.5000 0.0000 0.5000 [1 per cell]

## Properties
- Volume: 82.18 Å³/cell
- ΔH_f (0 K): 0.5212 eV per atom
- D(E_F): 2.6 states/eV per cell
- Crystal system: orthorhombic
- Total DFT energy (no corrections): -4.327 eV/atom
- Energy above the most stable polymorph in this dataset: 0 meV/atom

No. 20
This record from Alexandria via LeMat-Bulk describes a relaxed structure of MnCd2Co. The functional is PBEsol.

a b c (Å): 3.9276 3.9276 4.0086
angles (deg): 90.00 90.00 90.00
Space group P4/mmm (No. 123)
Asymmetric unit:
Mn1 0.0000 0.0000 0.0000 [1 per cell]
Cd1 0.0000 0.5000 0.5000 [2 per cell]
Co1 0.5000 0.5000 0.0000 [1 per cell]

## Properties
- Volume: 61.84 Å³/cell
- ΔH_f (0 K): 0.3376 eV per atom
- D(E_F): 2.7 states/eV per cell
- Crystal system: tetragonal
- Total DFT energy (no corrections): -4.635 eV/atom
- Energy above the most stable polymorph in this dataset: 0 meV/atom